<a>
{
  "formula": "Zr5Hg3",
  "functional": "PBEsol",
  "state": "optimized geometry",
  "cell": [[-1.115, 4.028, -3.383], [-8.181, -2.447, -0.217], [2.616, 5.642, 5.855]],
  "species": ["Hg", "Hg", "Hg", "Hg", "Hg", "Hg", "Zr", "Zr", "Zr", "Zr", "Zr", "Zr", "Zr", "Zr", "Zr", "Zr"],
  "frac_coords": [[0.250, 0.000, 0.398], [0.750, 0.398, 0.398], [0.750, 0.602, 0.000], [0.750, 0.000, 0.602], [0.250, 0.398, 0.000], [0.250, 0.602, 0.602], [0.250, 0.000, 0.766], [0.500, 0.333, 0.667], [0.750, 0.234, 0.000], [0.750, 0.766, 0.766], [0.000, 0.333, 0.667], [0.750, 0.000, 0.234], [0.250, 0.234, 0.234], [0.000, 0.667, 0.333], [0.250, 0.766, 0.000], [0.500, 0.667, 0.333]],
  "density_g_cm3": 10.34,
  "volume_a3_per_atom": 21.24,
  "m_tot_mub_per_fu": 0.00
}

=====

<b>
{
  "formula": "Zr5Hg3",
  "functional": "PBEsol",
  "state": "optimized geometry",
  "cell": [[4.465, 0.000, 0.000], [0.000, 6.120, 0.001], [0.000, -0.311, 6.112]],
  "species": ["Zr", "Zr", "Zr", "Zr", "Zr", "Hg", "Hg", "Hg"],
  "frac_coords": [[0.500, 0.255, 0.255], [0.500, 0.745, 0.745], [0.000, 0.000, 0.500], [0.000, 0.000, 0.000], [0.000, 0.500, 0.000], [0.500, 0.757, 0.243], [0.500, 0.243, 0.757], [0.000, 0.500, 0.500]],
  "density_g_cm3": 10.52,
  "volume_a3_per_atom": 20.88,
  "m_tot_mub_per_fu": 0.00
}

=====

Which of them is most stable, and which least? Most stable: <b>; least stable: <a>.

=====

<a>
{
  "formula": "Zr4Hg5",
  "functional": "PBEsol",
  "state": "optimized geometry",
  "cell": [[-3.624, -3.338, -3.227], [2.382, -6.917, 4.480], [-6.672, 4.716, 2.615]],
  "species": ["Hg", "Hg", "Hg", "Hg", "Hg", "Hg", "Hg", "Hg", "Hg", "Hg", "Zr", "Zr", "Zr", "Zr", "Zr", "Zr", "Zr", "Zr"],
  "frac_coords": [[0.500, 0.667, 0.333], [0.250, 0.683, 0.683], [0.750, 0.317, 0.317], [0.250, 0.317, 0.000], [0.750, 0.000, 0.683], [0.500, 0.333, 0.667], [0.750, 0.683, 0.000], [0.250, 0.000, 0.317], [0.000, 0.667, 0.333], [0.000, 0.333, 0.667], [0.750, 0.000, 0.350], [0.000, 0.000, 0.000], [0.250, 0.000, 0.650], [0.250, 0.650, 0.000], [0.750, 0.350, 0.000], [0.750, 0.650, 0.650], [0.250, 0.350, 0.350], [0.500, 0.000, 0.000]],
  "density_g_cm3": 12.10,
  "volume_a3_per_atom": 20.85,
  "m_tot_mub_per_fu": 0.00
}

=====

<b>
{
  "formula": "Zr4Hg5",
  "functional": "PBEsol",
  "state": "optimized geometry",
  "cell": [[4.159, 0.000, 0.000], [2.079, 6.751, 0.000], [2.079, 0.000, 6.751]],
  "species": ["Zr", "Zr", "Zr", "Zr", "Hg", "Hg", "Hg", "Hg", "Hg"],
  "frac_coords": [[0.000, 0.329, 0.671], [0.671, 0.329, 0.329], [0.000, 0.671, 0.329], [0.329, 0.671, 0.671], [0.330, 0.000, 0.340], [0.670, 0.660, 0.000], [0.670, 0.000, 0.660], [0.000, 0.000, 0.000], [0.330, 0.340, 0.000]],
  "density_g_cm3": 11.99,
  "volume_a3_per_atom": 21.06,
  "m_tot_mub_per_fu": 0.00
}

=====

Which of them is most stable, and which least? Most stable: <a>; least stable: <b>.